Run one
Entry from Alexandria: an optimized crystal structure of Si2TeSe (PBE-GGA).

DOS(E_F), states/eV per atom: 0.4739
Crystal system: orthorhombic
Total magnetic moment, μB/atom: 0.00

Cell lengths 5.154, 5.154, 5.154 Å; angles 133.95, 110.84, 87.15 degrees
Positions (direct):
Si  0.224  0.224  0.000
Si  0.776  0.776  0.000
Te  0.500  0.000  0.500
Se  0.000  0.500  0.500

---

Run two
Entry from Alexandria: an optimized crystal structure of Si2TeSe (PBE-GGA).

DOS(E_F), states/eV per atom: 0.3542
Crystal system: tetragonal
Total magnetic moment, μB/atom: 0.00

Cell lengths 3.213, 3.213, 8.712 Å; angles 90.00, 90.00, 90.00 degrees
Positions (direct):
Si  0.000  0.000  0.000
Si  0.500  0.500  0.160
Te  0.000  0.000  0.428
Se  0.500  0.500  0.845

---

Short version: run one is the least stable of them.